Dy2ErCo (PBE-GGA, relaxed); total DFT energy (no corrections) = -5.26 eV/atom; total magnetization = 1.16 μB per cell
1.0
-1.947 -2.792 -0.166
1.466 -1.191 2.836
-6.077 3.952 4.803
Dy Co Er
2 1 1
Cartesian
-4.945 3.216 3.908 Dy
-1.132 0.736 0.895 Dy
-0.240 -1.991 1.335 Co
-3.279 -0.015 3.736 Er